Entry 1:
First-principles (PBE) data for a geometry-optimized Th7Mn2Pb2 structure, as listed in the Alexandria database.

abc: 3.698 9.936 9.936
angles: 61.39 79.28 79.28
Sites, in units of the cell vectors:
1 Th 0.822 0.082 0.275
2 Th 0.840 0.423 0.898
3 Th 0.500 0.041 0.959
4 Th 0.647 0.448 0.258
5 Th 0.353 0.742 0.552
6 Th 0.178 0.725 0.918
7 Th 0.160 0.102 0.577
8 Mn 0.721 0.863 0.695
9 Mn 0.279 0.305 0.137
10 Pb 0.000 0.752 0.248
11 Pb 0.500 0.371 0.629


Entry 2:
First-principles (PBE) data for a geometry-optimized ThMnPb structure, as listed in the Alexandria database.

abc: 3.915 4.406 8.768
angles: 75.45 90.00 90.00
Sites, in units of the cell vectors:
1 Mn 0.750 0.469 0.063
2 Mn 0.250 0.531 0.937
3 Pb 0.750 0.297 0.407
4 Pb 0.250 0.703 0.593
5 Th 0.750 0.090 0.820
6 Th 0.250 0.910 0.180


Entry 3:
First-principles (PBE) data for a geometry-optimized Th6Mn2Pb structure, as listed in the Alexandria database.

abc: 8.689 8.689 8.689
angles: 101.03 113.55 114.16
Site moments in Bohr magnetons follow the coordinates.
Sites, in units of the cell vectors:
1 Th 0.487 0.296 0.190  -0.10
2 Th 0.513 0.704 0.810  -0.10
3 Th 0.894 0.704 0.190  -0.10
4 Th 0.106 0.296 0.810  -0.10
5 Th 0.207 0.755 0.961  -0.08
6 Th 0.793 0.245 0.039  -0.08
7 Th 0.793 0.755 0.548  -0.08
8 Th 0.207 0.245 0.452  -0.08
9 Th 0.309 0.980 0.671  -0.15
10 Th 0.691 0.020 0.329  -0.15
11 Th 0.691 0.362 0.671  -0.15
12 Th 0.309 0.638 0.329  -0.15
13 Mn 0.500 0.382 0.882  1.58
14 Mn 0.500 0.618 0.118  1.58
15 Mn 0.357 0.000 0.357  2.00
16 Mn 0.643 0.000 0.643  2.00
17 Pb 0.000 0.500 0.500  0.00
18 Pb 0.000 0.000 0.000  -0.02


Entry 4:
First-principles (PBE) data for a geometry-optimized TiMnPb2 structure, as listed in the Alexandria database.

abc: 4.258 4.258 10.265
angles: 78.03 78.03 90.00
Site moments in Bohr magnetons follow the coordinates.
Sites, in units of the cell vectors:
1 Pb 0.630 0.125 0.250  -0.01
2 Pb 0.120 0.625 0.250  -0.01
3 Pb 0.375 0.370 0.750  -0.01
4 Pb 0.875 0.880 0.750  -0.01
5 Mn 0.000 0.000 0.000  0.07
6 Mn 0.750 0.250 0.500  0.08
7 Ti 0.500 0.500 0.000  0.36
8 Ti 0.250 0.750 0.500  0.36


Entry 5:
First-principles (PBE) data for a geometry-optimized Ti8MnPb2 structure, as listed in the Alexandria database.

abc: 4.728 6.202 7.760
angles: 113.54 107.74 90.00
Site moments in Bohr magnetons follow the coordinates.
Sites, in units of the cell vectors:
1 Ti 0.379 0.615 0.759  0.01
2 Ti 0.621 0.857 0.242  0.01
3 Ti 0.833 0.833 0.666  0.44
4 Ti 0.000 0.256 0.000  0.20
5 Ti 0.167 0.167 0.334  0.44
6 Ti 0.379 0.143 0.758  0.01
7 Ti 0.621 0.385 0.241  0.01
8 Ti 0.000 0.744 0.000  0.20
9 Mn 0.500 0.000 0.000  -0.06
10 Pb 0.808 0.308 0.616  -0.01
11 Pb 0.192 0.692 0.384  -0.01


Entry 6:
First-principles (PBE) data for a geometry-optimized TiMn2Pb2 structure, as listed in the Alexandria database.

abc: 5.326 5.326 5.326
angles: 60.00 60.00 90.00
Site moments in Bohr magnetons follow the coordinates.
Sites, in units of the cell vectors:
1 Pb 0.750 0.250 0.500  -0.07
2 Pb 0.250 0.750 0.500  -0.07
3 Mn 0.334 0.334 0.332  2.97
4 Mn 0.666 0.666 0.668  2.97
5 Ti 0.000 0.000 0.000  -1.21


Entry 7:
First-principles (PBE) data for a geometry-optimized TiMnPb2 structure, as listed in the Alexandria database.

abc: 4.783 4.783 4.783
angles: 60.00 60.00 60.00
Site moments in Bohr magnetons follow the coordinates.
Sites, in units of the cell vectors:
1 Pb 0.250 0.250 0.250  0.01
2 Pb 0.750 0.750 0.750  0.01
3 Mn 0.500 0.500 0.500  0.22
4 Ti 0.000 0.000 0.000  0.32


Entry 8:
First-principles (PBE) data for a geometry-optimized TiMn2Pb2 structure, as listed in the Alexandria database.

abc: 6.801 6.801 4.248
angles: 90.00 90.00 90.00
Site moments in Bohr magnetons follow the coordinates.
Sites, in units of the cell vectors:
1 Pb 0.174 0.674 0.500  -0.04
2 Pb 0.674 0.826 0.500  -0.04
3 Pb 0.826 0.326 0.500  -0.04
4 Pb 0.326 0.174 0.500  -0.04
5 Mn 0.366 0.866 0.000  2.91
6 Mn 0.866 0.634 0.000  2.90
7 Mn 0.634 0.134 0.000  2.91
8 Mn 0.134 0.366 0.000  2.90
9 Ti 0.000 0.000 0.000  -1.01
10 Ti 0.500 0.500 0.000  -1.01


Entry 9:
First-principles (PBE) data for a geometry-optimized TiMnTl2Pb structure, as listed in the Alexandria database.

abc: 5.519 4.486 5.519
angles: 90.00 90.00 90.00
Site moments in Bohr magnetons follow the coordinates.
Sites, in units of the cell vectors:
1 Pb 0.500 0.500 0.500  0.04
2 Tl 0.000 0.000 0.500  -0.04
3 Tl 0.500 0.000 0.000  -0.02
4 Mn 0.000 0.500 0.000  3.04
5 Ti 0.000 0.000 0.000  -0.92


Entry 10:
First-principles (PBE) data for a geometry-optimized TiMn2VPb structure, as listed in the Alexandria database.

abc: 4.494 4.704 4.494
angles: 90.00 90.00 90.00
Site moments in Bohr magnetons follow the coordinates.
Sites, in units of the cell vectors:
1 Pb 0.500 0.500 0.500  0.00
2 Mn 0.000 0.000 0.500  2.62
3 Mn 0.500 0.000 0.000  2.88
4 Ti 0.000 0.000 0.000  -0.66
5 V 0.000 0.500 0.000  -1.71


Entry 11:
First-principles (PBE) data for a geometry-optimized YTi2MnPb structure, as listed in the Alexandria database.

abc: 5.215 5.025 5.215
angles: 90.00 90.00 90.00
Site moments in Bohr magnetons follow the coordinates.
Sites, in units of the cell vectors:
1 Pb 0.000 0.000 0.000  -0.02
2 Y 0.500 0.500 0.500  -0.34
3 Mn 0.000 0.500 0.000  3.70
4 Ti 0.000 0.000 0.500  -1.21
5 Ti 0.500 0.000 0.000  -0.89


Entry 12:
First-principles (PBE) data for a geometry-optimized Zr2TiMnPb structure, as listed in the Alexandria database.

abc: 5.357 4.995 5.357
angles: 90.00 90.00 90.00
Site moments in Bohr magnetons follow the coordinates.
Sites, in units of the cell vectors:
1 Pb 0.000 0.000 0.000  0.00
2 Mn 0.500 0.500 0.500  -0.12
3 Zr 0.000 0.000 0.500  0.04
4 Zr 0.500 0.000 0.000  0.13
5 Ti 0.000 0.500 0.000  0.93


Entry 13:
First-principles (PBE) data for a geometry-optimized MnTlPb2 structure, as listed in the Alexandria database.

abc: 6.543 6.543 5.513
angles: 65.17 65.17 29.99
Site moments in Bohr magnetons follow the coordinates.
Sites, in units of the cell vectors:
1 Mn 0.249 0.249 0.249  3.90
2 Pb 0.965 0.965 0.036  -0.03
3 Pb 0.752 0.752 0.748  -0.04
4 Tl 0.533 0.533 0.468  0.00


Entry 14:
First-principles (PBE) data for a geometry-optimized MnTlPb2 structure, as listed in the Alexandria database.

abc: 3.438 3.388 9.801
angles: 69.33 90.00 90.00
Site moments in Bohr magnetons follow the coordinates.
Sites, in units of the cell vectors:
1 Mn 0.500 0.750 0.750  3.73
2 Pb 0.000 0.045 0.953  -0.06
3 Pb 0.000 0.455 0.547  -0.06
4 Tl 0.500 0.250 0.250  0.01


Entry 15:
First-principles (PBE) data for a geometry-optimized MnTl2Pb structure, as listed in the Alexandria database.

abc: 7.209 7.209 4.890
angles: 70.35 70.35 26.69
Site moments in Bohr magnetons follow the coordinates.
Sites, in units of the cell vectors:
1 Mn 0.502 0.502 0.498  3.72
2 Pb 0.190 0.190 0.309  -0.05
3 Tl 0.999 0.999 0.001  -0.05
4 Tl 0.809 0.809 0.691  -0.01


Entry 16:
First-principles (PBE) data for a geometry-optimized MnTlPb4 structure, as listed in the Alexandria database.

abc: 6.478 6.478 6.478
angles: 60.00 60.00 60.00
Site moments in Bohr magnetons follow the coordinates.
Sites, in units of the cell vectors:
1 Mn 0.000 0.000 0.000  4.35
2 Tl 0.750 0.750 0.750  -0.01
3 Pb 0.877 0.374 0.374  -0.03
4 Pb 0.374 0.374 0.877  -0.03
5 Pb 0.374 0.877 0.374  -0.03
6 Pb 0.374 0.374 0.374  -0.03


Entry 17:
First-principles (PBE) data for a geometry-optimized MnTl2Pb structure, as listed in the Alexandria database.

abc: 6.471 6.471 5.431
angles: 65.01 65.01 30.91
Site moments in Bohr magnetons follow the coordinates.
Sites, in units of the cell vectors:
1 Mn 0.750 0.750 0.750  3.96
2 Pb 0.250 0.250 0.250  -0.02
3 Tl 0.034 0.034 0.966  0.00
4 Tl 0.466 0.466 0.534  0.00


Entry 18:
First-principles (PBE) data for a geometry-optimized MnTl2Pb structure, as listed in the Alexandria database.

abc: 3.473 5.549 5.542
angles: 90.00 90.00 90.00
Site moments in Bohr magnetons follow the coordinates.
Sites, in units of the cell vectors:
1 Mn 0.500 0.000 0.500  4.11
2 Pb 0.000 0.500 0.500  -0.04
3 Tl 0.000 0.000 0.000  -0.02
4 Tl 0.500 0.500 0.000  0.01


Entry 19:
First-principles (PBE) data for a geometry-optimized MnTl2Pb structure, as listed in the Alexandria database.

abc: 3.384 3.384 8.978
angles: 90.00 90.00 90.07
Site moments in Bohr magnetons follow the coordinates.
Sites, in units of the cell vectors:
1 Mn 0.500 0.500 0.250  3.88
2 Pb 0.500 0.500 0.750  0.03
3 Tl 0.000 0.000 0.043  0.00
4 Tl 0.000 0.000 0.457  0.00


Entry 20:
First-principles (PBE) data for a geometry-optimized MnTlPb structure, as listed in the Alexandria database.

abc: 4.825 4.825 4.825
angles: 60.00 60.00 60.00
Site moments in Bohr magnetons follow the coordinates.
Sites, in units of the cell vectors:
1 Mn 0.250 0.250 0.250  3.82
2 Pb 0.000 0.000 0.000  -0.07
3 Tl 0.500 0.500 0.500  0.00


Entry 21:
First-principles (PBE) data for a geometry-optimized MnTl2Pb structure, as listed in the Alexandria database.

abc: 5.652 5.652 3.493
angles: 90.00 90.00 108.32
Site moments in Bohr magnetons follow the coordinates.
Sites, in units of the cell vectors:
1 Mn 0.500 0.000 0.500  4.11
2 Pb 0.000 0.500 0.500  0.00
3 Tl 0.000 0.000 0.000  0.00
4 Tl 0.500 0.500 0.000  0.00


Entry 22:
First-principles (PBE) data for a geometry-optimized MnTlPb2 structure, as listed in the Alexandria database.

abc: 4.632 3.558 6.705
angles: 74.64 90.00 90.00
Site moments in Bohr magnetons follow the coordinates.
Sites, in units of the cell vectors:
1 Mn 0.500 0.548 0.788  3.88
2 Pb 0.000 0.967 0.942  -0.07
3 Pb 0.500 0.302 0.268  -0.02
4 Tl 0.000 0.683 0.502  -0.03


Entry 23:
First-principles (PBE) data for a geometry-optimized MnTl2Pb structure, as listed in the Alexandria database.

abc: 5.542 5.542 3.485
angles: 90.00 90.00 90.00
Site moments in Bohr magnetons follow the coordinates.
Sites, in units of the cell vectors:
1 Mn 0.500 0.000 0.500  4.16
2 Pb 0.000 0.500 0.500  0.03
3 Tl 0.000 0.000 0.000  0.00
4 Tl 0.500 0.500 0.000  0.00


Entry 24:
First-principles (PBE) data for a geometry-optimized MnTlPb2 structure, as listed in the Alexandria database.

abc: 10.787 10.787 10.787
angles: 18.36 18.36 18.36
Site moments in Bohr magnetons follow the coordinates.
Sites, in units of the cell vectors:
1 Mn 0.750 0.750 0.750  3.82
2 Pb 0.012 0.012 0.012  -0.06
3 Pb 0.488 0.488 0.488  -0.06
4 Tl 0.250 0.250 0.250  0.04


Entry 25:
First-principles (PBE) data for a geometry-optimized MnTl2Pb structure, as listed in the Alexandria database.

abc: 4.405 4.405 11.769
angles: 79.21 79.21 90.00
Site moments in Bohr magnetons follow the coordinates.
Sites, in units of the cell vectors:
1 Pb 0.000 0.000 0.000  -0.10
2 Pb 0.750 0.250 0.500  -0.10
3 Tl 0.614 0.125 0.250  -0.02
4 Tl 0.136 0.625 0.250  -0.02
5 Tl 0.375 0.386 0.750  -0.02
6 Tl 0.875 0.864 0.750  -0.02
7 Mn 0.500 0.500 0.000  3.99
8 Mn 0.250 0.750 0.500  3.99


Entry 26:
First-principles (PBE) data for a geometry-optimized MnTlPb2 structure, as listed in the Alexandria database.

abc: 5.369 5.369 5.369
angles: 60.00 60.00 60.00
Site moments in Bohr magnetons follow the coordinates.
Sites, in units of the cell vectors:
1 Mn 0.500 0.500 0.500  4.11
2 Pb 0.000 0.000 0.000  -0.01
3 Pb 0.250 0.250 0.250  -0.06
4 Tl 0.750 0.750 0.750  -0.02


Entry 27:
First-principles (PBE) data for a geometry-optimized MnTl2Pb structure, as listed in the Alexandria database.

abc: 3.430 3.430 8.945
angles: 90.00 90.00 89.91
Site moments in Bohr magnetons follow the coordinates.
Sites, in units of the cell vectors:
1 Mn 0.000 0.000 0.497  3.83
2 Pb 0.500 0.500 0.701  -0.05
3 Tl 0.000 0.000 0.006  0.01
4 Tl 0.500 0.500 0.295  0.00


Entry 28:
First-principles (PBE) data for a geometry-optimized MnTlPb2 structure, as listed in the Alexandria database.

abc: 5.819 5.819 5.819
angles: 131.77 131.77 70.59
Site moments in Bohr magnetons follow the coordinates.
Sites, in units of the cell vectors:
1 Mn 0.750 0.250 0.500  4.08
2 Pb 0.000 0.000 0.000  -0.03
3 Pb 0.500 0.500 0.000  -0.03
4 Tl 0.250 0.750 0.500  0.01


no.,E_form (eV/atom)
1,-0.03
2,-0.04
3,0.02
4,0.88
5,-0.05
6,0.59
7,0.59
8,0.43
9,0.62
10,1.01
11,0.97
12,1.84
13,0.31
14,0.22
15,0.31
16,0.44
17,0.32
18,0.38
19,0.33
20,0.37
21,0.39
22,0.33
23,0.41
24,0.29
25,0.42
26,0.40
27,0.26
28,0.36